Entry P
NaB3Ir after structural relaxation, computed with PBE.

Unit cell a=4.135 b=4.135 c=4.135 alpha=90.00 beta=90.00 gamma=90.00
Space group Pm-3m (No. 221)
One atom of each set of equivalent atoms:
1 Na 0.000 0.000 0.000 x1
2 B 0.000 0.500 0.500 x3
3 Ir 0.500 0.500 0.500 x1

Entry Q
NaB3Ir after structural relaxation, computed with PBE.

Unit cell a=4.056 b=4.056 c=4.056 alpha=90.00 beta=90.00 gamma=90.00
Space group Pm-3m (No. 221)
One atom of each set of equivalent atoms:
1 Na 0.000 0.000 0.000 x1
2 B 0.000 0.000 0.500 x3
3 Ir 0.500 0.500 0.500 x1

Most stable pick: entry P. Distance to second place: 2.444 eV/atom.

Entry P
NaB3Ir3 after structural relaxation, computed with PBE.

Unit cell a=5.855 b=5.855 c=5.855 alpha=90.00 beta=90.00 gamma=90.00
Space group Pm-3n (No. 223)
One atom of each set of equivalent atoms:
1 Na 0.000 0.000 0.000 x2
2 B 0.000 0.250 0.500 x6
3 Ir 0.000 0.500 0.250 x6

Entry Q
NaB3Ir3 after structural relaxation, computed with PBE.

Unit cell a=5.9091 b=5.9091 c=21.5500 alpha=90.00 beta=90.00 gamma=120.00
Space group R-3 (No. 148, hexagonal axes)
One atom of each set of equivalent atoms:
1 Na 0.0000 0.0000 0.1626 x6
2 B 0.0124 0.2740 0.7297 x18
3 Ir 0.0163 0.3859 0.2886 x18

Most stable pick: entry P. Distance to second place: 0.160 eV/atom.

Entry P
NaB2Ir after structural relaxation, computed with PBE.

Unit cell a=4.722 b=4.722 c=12.694 alpha=90.00 beta=90.00 gamma=90.00
Space group I4_1/amd (No. 141, origin choice 2)
One atom of each set of equivalent atoms:
1 Na 0.000 0.250 0.375 x4
2 B 0.000 0.000 0.000 x8
3 Ir 0.000 0.250 0.875 x4

Entry Q
NaB2Ir after structural relaxation, computed with PBE.

Unit cell a=3.6625 b=3.6625 c=15.3184 alpha=90.00 beta=90.00 gamma=120.00
Space group R-3m (No. 166, hexagonal axes)
One atom of each set of equivalent atoms:
1 Na 0.0000 0.0000 0.0000 x3
2 B 0.0000 0.0000 0.1787 x6
3 Ir 0.0000 0.0000 0.5000 x3

Entry R
NaB2Ir after structural relaxation, computed with PBE.

Unit cell a=5.536 b=5.536 c=5.536 alpha=90.00 beta=90.00 gamma=90.00
Space group Fm-3m (No. 225)
One atom of each set of equivalent atoms:
1 Na 0.000 0.000 0.000 x4
2 B 0.250 0.250 0.250 x8
3 Ir 0.000 0.000 0.500 x4

Most stable pick: entry Q. Distance to second place: 0.035 eV/atom.